No. 1
In2P2Pd: optimized geometry, PBE.

DFT formation energy: 0.0957 eV per atom
Total DFT energy (no corrections): -0.30886 Ry per atom

The structure in CIF format:
```
data_In2P2Pd
_chemical_formula_sum 'In4 P4 Pd2'
_cell_length_a 5.333
_cell_length_b 5.333
_cell_length_c 7.152
_cell_angle_alpha 90.00
_cell_angle_beta 90.00
_cell_angle_gamma 90.00
_symmetry_space_group_name_H-M 'I 4/m m m'
_symmetry_Int_Tables_number 139
_symmetry_space_group_name_Hall '-I 4 2'
loop_
_atom_site_label
_atom_site_type_symbol
_atom_site_fract_x
_atom_site_fract_y
_atom_site_fract_z
In1 In 0.000 0.500 0.250
P1 P 0.000 0.000 0.158
Pd1 Pd 0.000 0.000 0.500
```

No. 2
In2P2Pd: optimized geometry, PBE.

DFT formation energy: 0.0716 eV per atom
Total DFT energy (no corrections): -0.31063 Ry per atom

The structure in CIF format:
```
data_In2P2Pd
_chemical_formula_sum 'In4 P4 Pd2'
_cell_length_a 7.035
_cell_length_b 7.035
_cell_length_c 4.082
_cell_angle_alpha 90.00
_cell_angle_beta 90.00
_cell_angle_gamma 90.00
_symmetry_space_group_name_H-M 'P 4/m b m'
_symmetry_Int_Tables_number 127
_symmetry_space_group_name_Hall '-P 4 2ab'
loop_
_atom_site_label
_atom_site_type_symbol
_atom_site_fract_x
_atom_site_fract_y
_atom_site_fract_z
In1 In 0.146 0.354 0.000
P1 P 0.187 0.687 0.500
Pd1 Pd 0.000 0.000 0.500
```

No. 3
In3PPd: optimized geometry, PBE.

DFT formation energy: 0.2365 eV per atom
Total DFT energy (no corrections): -0.25923 Ry per atom

The structure in CIF format:
```
data_In3PPd
_chemical_formula_sum 'In3 P1 Pd1'
_cell_length_a 5.123
_cell_length_b 5.123
_cell_length_c 5.123
_cell_angle_alpha 90.00
_cell_angle_beta 90.00
_cell_angle_gamma 90.00
_symmetry_space_group_name_H-M 'P m -3 m'
_symmetry_Int_Tables_number 221
_symmetry_space_group_name_Hall '-P 4 2 3'
loop_
_atom_site_label
_atom_site_type_symbol
_atom_site_fract_x
_atom_site_fract_y
_atom_site_fract_z
In1 In 0.000 0.000 0.500
P1 P 0.500 0.500 0.500
Pd1 Pd 0.000 0.000 0.000
```

No. 4
In2PPd8: optimized geometry, PBE.

DFT formation energy: -0.4469 eV per atom
Total DFT energy (no corrections): -0.38316 Ry per atom

The structure in CIF format:
```
data_In2PPd8
_chemical_formula_sum 'In4 P2 Pd16'
_cell_length_a 14.833
_cell_length_b 4.562
_cell_length_c 5.732
_cell_angle_alpha 90.00
_cell_angle_beta 112.58
_cell_angle_gamma 90.00
_symmetry_space_group_name_H-M 'C 1 2/m 1'
_symmetry_Int_Tables_number 12
loop_
_symmetry_equiv_pos_as_xyz
'x,y,z'
'-x,-y,-z'
'-x,y,-z'
'x,-y,z'
'x+1/2,y+1/2,z'
'-x+1/2,-y+1/2,-z'
'-x+1/2,y+1/2,-z'
'x+1/2,-y+1/2,z'
loop_
_atom_site_label
_atom_site_type_symbol
_atom_site_fract_x
_atom_site_fract_y
_atom_site_fract_z
In1 In 0.185 0.000 0.185
P1 P 0.000 0.500 0.500
Pd1 Pd 0.000 0.000 0.256
Pd2 Pd 0.129 0.500 0.374
Pd3 Pd 0.129 0.500 0.884
Pd4 Pd 0.189 0.000 0.689
```

No. 5
In2PPd: optimized geometry, PBE.

DFT formation energy: 0.0667 eV per atom
Total DFT energy (no corrections): -0.29056 Ry per atom

The structure in CIF format:
```
data_In2PPd
_chemical_formula_sum 'In8 P4 Pd4'
_cell_length_a 6.607
_cell_length_b 6.607
_cell_length_c 9.529
_cell_angle_alpha 90.00
_cell_angle_beta 90.00
_cell_angle_gamma 90.00
_symmetry_space_group_name_H-M 'I -4 2 d'
_symmetry_Int_Tables_number 122
_symmetry_space_group_name_Hall 'I -4 2bw'
loop_
_atom_site_label
_atom_site_type_symbol
_atom_site_fract_x
_atom_site_fract_y
_atom_site_fract_z
In1 In 0.240 0.250 0.125
P1 P 0.000 0.000 0.000
Pd1 Pd 0.000 0.000 0.500
```

No. 6
InPPd3: optimized geometry, PBE.

DFT formation energy: 0.9584 eV per atom
Total DFT energy (no corrections): -0.27834 Ry per atom

The structure in CIF format:
```
data_InPPd3
_chemical_formula_sum 'In1 P1 Pd3'
_cell_length_a 4.899
_cell_length_b 4.899
_cell_length_c 4.899
_cell_angle_alpha 90.00
_cell_angle_beta 90.00
_cell_angle_gamma 90.00
_symmetry_space_group_name_H-M 'P m -3 m'
_symmetry_Int_Tables_number 221
_symmetry_space_group_name_Hall '-P 4 2 3'
loop_
_atom_site_label
_atom_site_type_symbol
_atom_site_fract_x
_atom_site_fract_y
_atom_site_fract_z
In1 In 0.000 0.000 0.000
P1 P 0.500 0.500 0.500
Pd1 Pd 0.000 0.000 0.500
```

No. 7
InP3Pd: optimized geometry, PBE.

DFT formation energy: 0.6802 eV per atom
Total DFT energy (no corrections): -0.30517 Ry per atom

The structure in CIF format:
```
data_InP3Pd
_chemical_formula_sum 'In1 P3 Pd1'
_cell_length_a 4.736
_cell_length_b 4.736
_cell_length_c 4.736
_cell_angle_alpha 90.00
_cell_angle_beta 90.00
_cell_angle_gamma 90.00
_symmetry_space_group_name_H-M 'P m -3 m'
_symmetry_Int_Tables_number 221
_symmetry_space_group_name_Hall '-P 4 2 3'
loop_
_atom_site_label
_atom_site_type_symbol
_atom_site_fract_x
_atom_site_fract_y
_atom_site_fract_z
In1 In 0.000 0.000 0.000
P1 P 0.000 0.500 0.500
Pd1 Pd 0.500 0.500 0.500
```

No. 8
InP2Pd: optimized geometry, PBE.

DFT formation energy: -0.0509 eV per atom
Total DFT energy (no corrections): -0.34829 Ry per atom

The structure in CIF format:
```
data_InP2Pd
_chemical_formula_sum 'In4 P8 Pd4'
_cell_length_a 5.482
_cell_length_b 5.482
_cell_length_c 12.098
_cell_angle_alpha 90.00
_cell_angle_beta 90.00
_cell_angle_gamma 90.00
_symmetry_space_group_name_H-M 'I -4 2 d'
_symmetry_Int_Tables_number 122
_symmetry_space_group_name_Hall 'I -4 2bw'
loop_
_atom_site_label
_atom_site_type_symbol
_atom_site_fract_x
_atom_site_fract_y
_atom_site_fract_z
In1 In 0.000 0.000 0.000
P1 P 0.205 0.250 0.625
Pd1 Pd 0.000 0.000 0.500
```

No. 9
InPPd3: optimized geometry, PBE.

DFT formation energy: -0.4453 eV per atom
Total DFT energy (no corrections): -0.38150 Ry per atom

The structure in CIF format:
```
data_InPPd3
_chemical_formula_sum 'In2 P2 Pd6'
_cell_length_a 4.668
_cell_length_b 5.519
_cell_length_c 6.691
_cell_angle_alpha 84.39
_cell_angle_beta 85.24
_cell_angle_gamma 88.97
_symmetry_space_group_name_H-M 'P 1'
_symmetry_Int_Tables_number 1
loop_
_symmetry_equiv_pos_as_xyz
'x,y,z'
loop_
_atom_site_label
_atom_site_type_symbol
_atom_site_fract_x
_atom_site_fract_y
_atom_site_fract_z
In1 In 0.000 0.000 0.000
In2 In 0.032 0.549 0.648
P1 P 0.607 0.465 0.110
P2 P 0.632 0.000 0.530
Pd1 Pd 0.094 0.508 0.177
Pd2 Pd 0.119 0.072 0.566
Pd3 Pd 0.475 0.756 0.845
Pd4 Pd 0.477 0.052 0.203
Pd5 Pd 0.548 0.600 0.436
Pd6 Pd 0.559 0.263 0.796
```

No. 10
InP2Pd8: optimized geometry, PBE.

DFT formation energy: -0.4830 eV per atom
Total DFT energy (no corrections): -0.40366 Ry per atom

The structure in CIF format:
```
data_InP2Pd8
_chemical_formula_sum 'In2 P4 Pd16'
_cell_length_a 7.417
_cell_length_b 10.860
_cell_length_c 4.422
_cell_angle_alpha 90.00
_cell_angle_beta 104.36
_cell_angle_gamma 90.00
_symmetry_space_group_name_H-M 'C 1 2/m 1'
_symmetry_Int_Tables_number 12
loop_
_symmetry_equiv_pos_as_xyz
'x,y,z'
'-x,-y,-z'
'-x,y,-z'
'x,-y,z'
'x+1/2,y+1/2,z'
'-x+1/2,-y+1/2,-z'
'-x+1/2,y+1/2,-z'
'x+1/2,-y+1/2,z'
loop_
_atom_site_label
_atom_site_type_symbol
_atom_site_fract_x
_atom_site_fract_y
_atom_site_fract_z
In1 In 0.000 0.000 0.000
P1 P 0.000 0.322 0.500
Pd1 Pd 0.000 0.251 0.000
Pd2 Pd 0.116 0.500 0.807
Pd3 Pd 0.195 0.131 0.590
```

No. 11
Pm2InP3Pd4: optimized geometry, PBE.

DFT formation energy: -0.8668 eV per atom
Total DFT energy (no corrections): -0.42562 Ry per atom

The structure in CIF format:
```
data_Pm2InP3Pd4
_chemical_formula_sum 'Pm2 In1 P3 Pd4'
_cell_length_a 4.111
_cell_length_b 4.111
_cell_length_c 10.998
_cell_angle_alpha 90.00
_cell_angle_beta 90.00
_cell_angle_gamma 90.00
_symmetry_space_group_name_H-M 'P -4 m 2'
_symmetry_Int_Tables_number 115
loop_
_symmetry_equiv_pos_as_xyz
'x,y,z'
'y,-x,-z'
'-x,-y,z'
'-y,x,-z'
'-x,y,z'
'-y,-x,-z'
'x,-y,z'
'y,x,-z'
loop_
_atom_site_label
_atom_site_type_symbol
_atom_site_fract_x
_atom_site_fract_y
_atom_site_fract_z
Pm1 Pm 0.000 0.500 0.225
In1 In 0.000 0.000 0.500
P1 P 0.000 0.500 0.869
P2 P 0.500 0.500 0.500
Pd1 Pd 0.000 0.000 0.000
Pd2 Pd 0.000 0.500 0.655
Pd3 Pd 0.500 0.500 0.000
```

No. 12
PmIn2P2Pd7: optimized geometry, PBE.

DFT formation energy: -0.4963 eV per atom
Total DFT energy (no corrections): -0.38803 Ry per atom

The structure in CIF format:
```
data_PmIn2P2Pd7
_chemical_formula_sum 'Pm2 In4 P4 Pd14'
_cell_length_a 5.758
_cell_length_b 5.748
_cell_length_c 13.760
_cell_angle_alpha 90.00
_cell_angle_beta 101.87
_cell_angle_gamma 90.00
_symmetry_space_group_name_H-M 'C 1 2/m 1'
_symmetry_Int_Tables_number 12
loop_
_symmetry_equiv_pos_as_xyz
'x,y,z'
'-x,-y,-z'
'-x,y,-z'
'x,-y,z'
'x+1/2,y+1/2,z'
'-x+1/2,-y+1/2,-z'
'-x+1/2,y+1/2,-z'
'x+1/2,-y+1/2,z'
loop_
_atom_site_label
_atom_site_type_symbol
_atom_site_fract_x
_atom_site_fract_y
_atom_site_fract_z
Pm1 Pm 0.000 0.000 0.000
In1 In 0.226 0.500 0.617
P1 P 0.132 0.500 0.256
Pd1 Pd 0.000 0.500 0.000
Pd2 Pd 0.171 0.252 0.835
Pd3 Pd 0.205 0.000 0.575
```

Number 1: total magnetic moment 0.0 μB/cell. Number 2: total magnetic moment 0.0 μB/cell. Number 3: total magnetic moment 0.0 μB/cell. Number 4: total magnetic moment 0.0 μB/cell. Number 5: total magnetic moment 0.0 μB/cell. Number 6: total magnetic moment 0.0 μB/cell. Number 7: total magnetic moment 0.0 μB/cell. Number 8: total magnetic moment 0.0 μB/cell. Number 9: total magnetic moment 0.0 μB/cell. Number 10: total magnetic moment 0.0 μB/cell. Number 11: total magnetic moment 0.0 μB/cell. Number 12: total magnetic moment 0.0 μB/cell.